1.
# RbTi3Pd | the Alexandria database | PBE | optimized geometry
data_RbTi3Pd
_chemical_formula_sum 'Rb1 Ti3 Pd1'
_cell_length_a 4.6522
_cell_length_b 4.6522
_cell_length_c 4.6522
_cell_angle_alpha 90.00
_cell_angle_beta 90.00
_cell_angle_gamma 90.00
_symmetry_space_group_name_H-M 'P 1'
_symmetry_Int_Tables_number 1
_symmetry_space_group_name_Hall 'P 1'
loop_
_atom_site_label
_atom_site_type_symbol
_atom_site_fract_x
_atom_site_fract_y
_atom_site_fract_z
Ti1 Ti 0.5000 0.0000 0.0000
Ti2 Ti 0.0000 0.5000 0.0000
Pd1 Pd 0.5000 0.5000 0.5000
Rb1 Rb 0.0000 0.0000 0.0000
Ti3 Ti 0.0000 0.0000 0.5000
# - N(E_F): 6.83 states/eV per cell
# - Energy above the most stable polymorph in this dataset: 1151 meV per atom

***

2.
# Rb2YTiPd | the Alexandria database | PBE | optimized geometry
data_Rb2YTiPd
_chemical_formula_sum 'Rb2 Y1 Ti1 Pd1'
_cell_length_a 6.0880
_cell_length_b 5.8490
_cell_length_c 6.0880
_cell_angle_alpha 90.00
_cell_angle_beta 90.00
_cell_angle_gamma 90.00
_symmetry_space_group_name_H-M 'P 1'
_symmetry_Int_Tables_number 1
_symmetry_space_group_name_Hall 'P 1'
loop_
_atom_site_label
_atom_site_type_symbol
_atom_site_fract_x
_atom_site_fract_y
_atom_site_fract_z
Rb1 Rb 0.5000 0.0000 0.0000
Y1 Y 0.0000 0.5000 0.0000
Pd1 Pd 0.5000 0.5000 0.5000
Ti1 Ti 0.0000 0.0000 0.0000
Rb2 Rb 0.0000 0.0000 0.5000
# - N(E_F): 3.18 states/eV per cell

***

Number 1: energy relative to the elements 1.9872 eV/atom, E -3.9818 eV/atom. Number 2: energy relative to the elements 1.3163 eV/atom, E -2.9811 eV/atom.